Record 1
WSeCl2 | PBE | optimized geometry

abc: 7.333 7.333 3.226
angles: 90.00 90.00 141.39
Fractional coordinates of all 4 atoms:
W: 0.000 0.000 0.000
Se: 0.500 0.500 0.000
Cl: 0.134 0.866 0.500
Cl: 0.866 0.134 0.500

Values from the calculation:
For the excess energy over the best structure of this formula in the dataset, the calculation gives 0.053 eV per atom.

---

Record 2
Pm2NdS4 | PBE | optimized geometry

abc: 11.483 4.024 14.465
angles: 90.00 90.00 90.00
Fractional coordinates of all 28 atoms:
Pm: 0.065 0.250 0.104
Pm: 0.112 0.250 0.600
Pm: 0.388 0.750 0.100
Pm: 0.435 0.750 0.604
Pm: 0.565 0.250 0.396
Pm: 0.612 0.250 0.900
Pm: 0.888 0.750 0.400
Pm: 0.935 0.750 0.896
Nd: 0.240 0.750 0.349
Nd: 0.260 0.250 0.849
Nd: 0.740 0.750 0.151
Nd: 0.760 0.250 0.651
S: 0.017 0.250 0.786
S: 0.066 0.250 0.408
S: 0.162 0.750 0.984
S: 0.233 0.750 0.704
S: 0.267 0.250 0.204
S: 0.338 0.250 0.484
S: 0.434 0.750 0.908
S: 0.483 0.750 0.286
S: 0.517 0.250 0.714
S: 0.566 0.250 0.092
S: 0.662 0.750 0.516
S: 0.733 0.750 0.796
S: 0.767 0.250 0.296
S: 0.838 0.250 0.016
S: 0.934 0.750 0.592
S: 0.983 0.750 0.214

Values from the calculation:
For the excess energy over the best structure of this formula in the dataset, the calculation gives 0.006 eV per atom.

---

Record 3
LiInAg | PBE | optimized geometry

abc: 4.707 4.707 2.966
angles: 90.00 90.00 120.00
Fractional coordinates of all 3 atoms:
Li: 0.000 0.000 0.000
In: 0.333 0.667 0.618
Ag: 0.667 0.333 0.267

Values from the calculation:
As for the total energy: -8.08 eV/cell.

---

Record 4
YMnNi3 | PBE | optimized geometry

abc: 4.398 4.398 4.398
angles: 90.00 90.00 90.00
Fractional coordinates of all 5 atoms:
Y: 0.000 0.000 0.000
Mn: 0.500 0.500 0.500
Ni: 0.000 0.500 0.500
Ni: 0.500 0.000 0.500
Ni: 0.500 0.500 0.000

Values from the calculation:
As for the total energy: -31.44 eV/cell.

---

Record 5
PuNbAl4 | PBE | optimized geometry

abc: 5.347 5.347 5.347
angles: 60.00 60.00 60.00
Fractional coordinates of all 6 atoms:
Pu: 0.000 0.000 0.000
Nb: 0.750 0.750 0.750
Al: 0.375 0.375 0.375
Al: 0.375 0.375 0.875
Al: 0.375 0.875 0.375
Al: 0.875 0.375 0.375

Values from the calculation:
As for the total energy: -40.74 eV/cell.

---

Record 6
Ba5Li4Ge4 | PBE | optimized geometry

abc: 9.287 9.287 9.287
angles: 93.99 93.99 149.43
Fractional coordinates of all 13 atoms:
Ba: 0.000 0.000 0.000
Ba: 0.285 0.362 0.648
Ba: 0.362 0.715 0.077
Ba: 0.638 0.285 0.923
Ba: 0.715 0.638 0.352
Li: 0.102 0.563 0.666
Li: 0.437 0.102 0.539
Li: 0.563 0.898 0.461
Li: 0.898 0.437 0.334
Ge: 0.043 0.271 0.313
Ge: 0.271 0.957 0.228
Ge: 0.729 0.043 0.772
Ge: 0.957 0.729 0.687

Values from the calculation:
As for the total energy: -40.35 eV/cell.